# 1
Density functional theory data (GGA-PBE) for an optimized crystal structure of CeNdTl.

Structure (CIF):
```
data_CeNdTl
_chemical_formula_sum 'Ce1 Nd1 Tl1'
_cell_length_a 5.4155
_cell_length_b 5.4155
_cell_length_c 3.3261
_cell_angle_alpha 90.00
_cell_angle_beta 90.00
_cell_angle_gamma 120.00
_symmetry_space_group_name_H-M 'P 1'
_symmetry_Int_Tables_number 1
loop_
_symmetry_equiv_pos_as_xyz
'x,y,z'
loop_
_atom_site_label
_atom_site_fract_x
_atom_site_fract_y
_atom_site_fract_z
Ce1 0.0000 0.0000 0.0000
Nd1 0.6667 0.3333 0.0035
Tl1 0.3333 0.6667 0.5015
```

Calculated formation energy   -15 meV per atom
SG   P3m1
Distance to the lowest polymorph of the same formula   0.110 eV per atom

---

# 2
Density functional theory data (GGA-PBE) for an optimized crystal structure of Y2CrSe.

Structure (CIF):
```
data_Y2CrSe
_chemical_formula_sum 'Y2 Cr1 Se1'
_cell_length_a 3.6064
_cell_length_b 3.6064
_cell_length_c 7.6095
_cell_angle_alpha 90.00
_cell_angle_beta 90.00
_cell_angle_gamma 90.00
_symmetry_space_group_name_H-M 'P 1'
_symmetry_Int_Tables_number 1
loop_
_symmetry_equiv_pos_as_xyz
'x,y,z'
loop_
_atom_site_label
_atom_site_fract_x
_atom_site_fract_y
_atom_site_fract_z
Y1 0.0000 0.0000 0.0000
Y2 0.5000 0.5000 0.3501
Cr1 0.0000 0.0000 0.5858
Se1 0.5000 0.5000 0.7758
```

SG   P4mm
Energy relative to the elements, uncorrected   -0.92 eV per formula unit

---

# 3
Density functional theory data (GGA-PBE) for an optimized crystal structure of NaCeInIr.

Structure (CIF):
```
data_NaCeInIr
_chemical_formula_sum 'Na4 Ce4 In4 Ir4'
_cell_length_a 6.9533
_cell_length_b 6.9533
_cell_length_c 6.9533
_cell_angle_alpha 90.00
_cell_angle_beta 90.00
_cell_angle_gamma 90.00
_symmetry_space_group_name_H-M 'P 1'
_symmetry_Int_Tables_number 1
loop_
_symmetry_equiv_pos_as_xyz
'x,y,z'
loop_
_atom_site_label
_atom_site_fract_x
_atom_site_fract_y
_atom_site_fract_z
Na1 0.0000 0.0000 0.0000
Na2 0.0000 0.5000 0.5000
Na3 0.5000 0.0000 0.5000
Na4 0.5000 0.5000 0.0000
Ce1 0.2500 0.2500 0.2500
Ce2 0.2500 0.7500 0.7500
Ce3 0.7500 0.2500 0.7500
Ce4 0.7500 0.7500 0.2500
In1 0.2500 0.2500 0.7500
In2 0.2500 0.7500 0.2500
In3 0.7500 0.2500 0.2500
In4 0.7500 0.7500 0.7500
Ir1 0.0000 0.0000 0.5000
Ir2 0.0000 0.5000 0.0000
Ir3 0.5000 0.0000 0.0000
Ir4 0.5000 0.5000 0.5000
```

Calculated formation energy   -235 meV per atom
SG   F-43m

---

no.,total moment (μB per atom)
1,0.464
2,1.021
3,0.008